# 1
Here is a geometry-optimized Ca2Sm4Y structure from Alexandria. Energies are from PBE.

Computed properties:
As for the energy of formation: 0.623 eV per atom. The calculation puts the raw total energy at -3.569 eV per atom. The value obtained for the size of the total moment is 0.732 μB/f.u.

Cell lengths 5.707, 5.707, 17.892 Å; angles 90.00, 90.00, 90.00 degrees
Space group I4/mmm (No. 139)
Unique sites:
Ca  0.000  0.000  0.127 x4
Sm  0.000  0.000  0.327 x4
Sm  0.000  0.500  0.000 x4
Y  0.000  0.000  0.500 x2

---

# 2
Here is a geometry-optimized Ca2Sm4Y5 structure from Alexandria. Energies are from PBE.

Computed properties:
As for the energy of formation: 0.198 eV per atom. The calculation puts the raw total energy at -4.820 eV per atom. The value obtained for the size of the total moment is 0.000 μB/f.u.

Cell lengths 12.459, 6.846, 10.267 Å; angles 90.00, 119.72, 90.00 degrees
Space group C2/m (No. 12)
Unique sites:
Ca  0.087  0.000  0.261 x4
Sm  0.135  0.500  0.386 x4
Sm  0.219  0.000  0.016 x4
Y  0.000  0.500  0.000 x2
Y  0.137  0.242  0.670 x8

---

# 3
Here is a geometry-optimized CaSm7Y3 structure from Alexandria. Energies are from PBE.

Computed properties:
As for the energy of formation: 0.234 eV per atom. The calculation puts the raw total energy at -4.714 eV per atom. The value obtained for the size of the total moment is 0.000 μB/f.u.

Cell lengths 11.803, 10.173, 6.531 Å; angles 90.00, 95.00, 90.00 degrees
Space group C2/m (No. 12)
Unique sites:
Ca  0.000  0.000  0.000 x2
Sm  0.000  0.000  0.500 x2
Sm  0.235  0.500  0.708 x4
Sm  0.247  0.172  0.755 x8
Y  0.000  0.331  0.500 x4
Y  0.000  0.500  0.000 x2

---

# 4
Here is a geometry-optimized CaSm2Y structure from Alexandria. Energies are from PBE.

Computed properties:
As for the energy of formation: 0.056 eV per atom. The calculation puts the raw total energy at -4.420 eV per atom. The value obtained for the size of the total moment is 0.000 μB/f.u.

Cell lengths 3.648, 3.648, 10.519 Å; angles 90.00, 90.00, 90.00 degrees
Space group P4/mmm (No. 123)
Unique sites:
Ca  0.000  0.000  0.000 x1
Sm  0.500  0.500  0.265 x2
Y  0.000  0.000  0.500 x1

---

# 5
Here is a geometry-optimized CaSm8Y2 structure from Alexandria. Energies are from PBE.

Computed properties:
As for the energy of formation: 0.154 eV per atom. The calculation puts the raw total energy at -4.636 eV per atom. The value obtained for the size of the total moment is 0.000 μB/f.u.

Cell lengths 5.666, 8.368, 16.123 Å; angles 90.00, 90.00, 90.00 degrees
Space group Immm (No. 71)
Unique sites:
Ca  0.000  0.000  0.000 x2
Sm  0.000  0.196  0.500 x4
Sm  0.000  0.299  0.140 x8
Sm  0.000  0.500  0.336 x4
Y  0.000  0.000  0.298 x4

---

# 6
Here is a geometry-optimized CaSm2Y4 structure from Alexandria. Energies are from PBE.

Computed properties:
As for the energy of formation: 0.043 eV per atom. The calculation puts the raw total energy at -5.285 eV per atom. The value obtained for the size of the total moment is 0.002 μB/f.u.

Cell lengths 3.6167, 3.6167, 62.7876 Å; angles 90.00, 90.00, 120.00 degrees
Space group R-3m (No. 166, hexagonal axes)
Unique sites:
Ca  0.0000  0.0000  0.0000 x3
Sm  0.0000  0.0000  0.4301 x6
Y  0.0000  0.0000  0.1437 x6
Y  0.0000  0.0000  0.2824 x6

---

# 7
Here is a geometry-optimized Ca2Sm2Y structure from Alexandria. Energies are from PBE.

Computed properties:
As for the energy of formation: 0.228 eV per atom. The calculation puts the raw total energy at -3.754 eV per atom. The value obtained for the size of the total moment is 0.000 μB/f.u.

Cell lengths 9.509, 9.509, 3.959 Å; angles 90.00, 90.00, 90.00 degrees
Space group P4/mbm (No. 127)
Unique sites:
Ca  0.173  0.327  0.000 x4
Sm  0.126  0.626  0.500 x4
Y  0.000  0.000  0.500 x2

---

# 8
Here is a geometry-optimized Ca2SmY structure from Alexandria. Energies are from PBE.

Computed properties:
As for the energy of formation: 0.238 eV per atom. The calculation puts the raw total energy at -3.559 eV per atom. The value obtained for the size of the total moment is 0.670 μB/f.u.

Cell lengths 3.5943, 3.5943, 39.5082 Å; angles 90.00, 90.00, 120.00 degrees
Space group R-3m (No. 166, hexagonal axes)
Unique sites:
Ca  0.0000  0.0000  0.0871 x6
Sm  0.0000  0.0000  0.5000 x3
Y  0.0000  0.0000  0.0000 x3

---

# 9
Here is a geometry-optimized CaSm5Y6 structure from Alexandria. Energies are from PBE.

Computed properties:
As for the energy of formation: 0.041 eV per atom. The calculation puts the raw total energy at -5.324 eV per atom. The value obtained for the size of the total moment is 0.000 μB/f.u.

Cell lengths 11.975, 10.859, 6.271 Å; angles 90.00, 100.00, 90.00 degrees
Space group C2/m (No. 12)
Unique sites:
Ca  0.000  0.000  0.000 x2
Sm  0.000  0.171  0.500 x4
Sm  0.000  0.338  0.000 x4
Sm  0.000  0.500  0.500 x2
Y  0.246  0.331  0.747 x8
Y  0.248  0.500  0.257 x4

---

# 10
Here is a geometry-optimized CaSm6Y12 structure from Alexandria. Energies are from PBE.

Computed properties:
As for the energy of formation: 0.033 eV per atom. The calculation puts the raw total energy at -5.645 eV per atom. The value obtained for the size of the total moment is 0.000 μB/f.u.

Cell lengths 15.7113, 15.7113, 8.8329 Å; angles 90.00, 90.00, 120.00 degrees
Space group R-3 (No. 148, hexagonal axes)
Unique sites:
Ca  0.0000  0.0000  0.0000 x3
Sm  0.0344  0.2799  0.3299 x18
Y  0.0176  0.1419  0.6618 x18
Y  0.0667  0.5605  0.6673 x18

---

# 11
Here is a geometry-optimized Ca2SmY structure from Alexandria. Energies are from PBE.

Computed properties:
As for the energy of formation: 0.111 eV per atom. The calculation puts the raw total energy at -3.685 eV per atom. The value obtained for the size of the total moment is 0.483 μB/f.u.

Cell lengths 7.360, 12.306, 3.690 Å; angles 90.00, 119.98, 90.00 degrees
Space group Cm (No. 8)
Unique sites:
Ca  0.000  0.250  0.000 x4
Sm  0.167  0.000  0.665 x2
Y  0.166  0.500  0.664 x2

---

# 12
Here is a geometry-optimized CaSm4Y5 structure from Alexandria. Energies are from PBE.

Computed properties:
As for the energy of formation: 0.036 eV per atom. The calculation puts the raw total energy at -5.284 eV per atom. The value obtained for the size of the total moment is 0.000 μB/f.u.

Cell lengths 3.634, 3.634, 25.577 Å; angles 90.00, 90.00, 90.00 degrees
Space group P4/mmm (No. 123)
Unique sites:
Ca  0.000  0.000  0.000 x1
Sm  0.000  0.000  0.204 x2
Sm  0.000  0.000  0.401 x2
Y  0.500  0.500  0.110 x2
Y  0.500  0.500  0.304 x2
Y  0.500  0.500  0.500 x1